! Li8NiAg2, relaxed, DFT GGA-PBE; values from VASP
&SYSTEM
  ibrav = 0, nat = 11, ntyp = 3
/
ATOMIC_SPECIES
Li 6.94 Li.upf
Ag 107.87 Ag.upf
Ni 58.69 Ni.upf
CELL_PARAMETERS angstrom
-2.8997 -0.4039 2.9701
-0.7386 -5.8577 -1.5176
6.5358 0.0798 3.4638
ATOMIC_POSITIONS crystal
Li 0.1441 0.1824 0.2883
Li 0.6710 0.9069 0.3419
Ag 0.2198 0.6450 0.4396
Li 0.0376 0.7546 0.0752
Li 0.4046 0.5653 0.8092
Li 0.5954 0.4347 0.1908
Li 0.8559 0.8176 0.7117
Ag 0.7802 0.3550 0.5604
Li 0.9624 0.2454 0.9248
Ni 0.5000 0.0000 0.0000
Li 0.3290 0.0931 0.6581
! Distance to the lowest polymorph of the same formula = 0.0 meV per atom
! Volume = 175 Å³/f.u.
! Density of states at the Fermi level = 3.7 states/eV/f.u.
! Total magnetization = 0.00 μB per atom
! Energy of formation from the pure elements = -0.0599 eV per atom
! Raw total energy = -2.496 eV per atom